No. 1
# AcDy6Ho4

A relaxed structure of AcDy6Ho4 (GGA-PBE, the Alexandria database).

POSCAR file:
```
AcDy6Ho4
1.0
-5.334 -2.821 4.976
3.232 -7.099 -0.560
4.897 6.325 2.689
Ac Dy Ho
1 6 4
direct
0.500 0.500 0.000
0.953 0.430 0.383
0.430 0.953 0.383
0.570 0.570 0.617
0.000 0.500 0.000
0.047 0.047 0.617
0.500 0.000 0.000
0.088 0.765 0.853
0.912 0.912 0.147
0.765 0.088 0.853
0.235 0.235 0.147
```

As for the spin magnetization: 0.0 μB/f.u. For the total DFT energy (no corrections), the calculation gives -4.13 eV/atom. For the energy above the most stable polymorph in this dataset, the calculation gives 280 meV per atom.


No. 2
# Li2AlSi

A relaxed structure of Li2AlSi (GGA-PBE, the Alexandria database).

POSCAR file:
```
Li2AlSi
1.0
-1.194 0.469 -2.545
-2.528 -0.805 1.042
-1.586 7.808 2.183
Al Li Si
1 2 1
direct
0.500 0.500 0.727
0.000 0.000 0.977
0.500 0.500 0.285
0.000 0.000 0.510
```

As for the spin magnetization: 0.0 μB/f.u. The value obtained for the uncorrected formation energy is -0.015 eV per atom. For the total DFT energy (no corrections), the calculation gives -3.26 eV/atom.


No. 3
# TmNpPb2

A relaxed structure of TmNpPb2 (GGA-PBE, the Alexandria database).

POSCAR file:
```
TmNpPb2
1.0
3.378 0.000 0.000
1.689 2.925 0.000
1.689 0.975 12.007
Np Pb Tm
1 2 1
direct
0.500 0.500 0.500
0.087 0.087 0.739
0.913 0.913 0.261
0.000 0.000 0.000
```

As for the spin magnetization: 4.5 μB/f.u. For the total DFT energy (no corrections), the calculation gives -5.94 eV/atom.


No. 4
# Th5FeSb3

A relaxed structure of Th5FeSb3 (GGA-PBE, the Alexandria database).

POSCAR file:
```
Th5FeSb3
1.0
-5.765 -2.181 1.914
0.291 -6.675 -6.726
3.536 -1.791 8.611
Th Fe Sb
10 2 6
direct
0.000 0.333 0.667
0.500 0.667 0.333
0.000 0.667 0.333
0.500 0.333 0.667
0.750 0.761 0.000
0.750 0.239 0.239
0.750 0.000 0.761
0.250 0.239 0.000
0.250 0.761 0.761
0.250 0.000 0.239
0.000 0.000 0.000
0.500 0.000 0.000
0.750 0.395 0.000
0.750 0.605 0.605
0.750 0.000 0.395
0.250 0.605 0.000
0.250 0.395 0.395
0.250 0.000 0.605
```

As for the spin magnetization: 0.0 μB/f.u. The value obtained for the uncorrected formation energy is -0.669 eV per atom. For the total DFT energy (no corrections), the calculation gives -7.11 eV/atom.


No. 5
# Fe2MoRh2

A relaxed structure of Fe2MoRh2 (GGA-PBE, the Alexandria database).

POSCAR file:
```
Fe2MoRh2
1.0
7.107 0.000 0.000
0.000 7.107 0.000
0.000 0.000 2.641
Mo Rh Fe
2 4 4
direct
0.000 0.000 0.000
0.500 0.500 0.000
0.372 0.872 0.000
0.872 0.628 0.000
0.628 0.128 0.000
0.128 0.372 0.000
0.170 0.670 0.500
0.670 0.830 0.500
0.830 0.330 0.500
0.330 0.170 0.500
```

As for the spin magnetization: 0.0 μB/f.u. For the total DFT energy (no corrections), the calculation gives -8.24 eV/atom. For the energy above the most stable polymorph in this dataset, the calculation gives 136 meV per atom.


No. 6
# Ba2P7Br

A relaxed structure of Ba2P7Br (GGA-PBE, the Alexandria database).

POSCAR file:
```
Ba2P7Br
1.0
-1.420 -4.366 -5.234
6.218 -0.241 -1.485
2.564 -9.382 7.130
Ba P Br
4 14 2
direct
0.750 0.286 0.046
0.250 0.714 0.954
0.750 0.070 0.648
0.250 0.930 0.352
0.750 0.493 0.446
0.250 0.507 0.554
0.750 0.831 0.223
0.250 0.169 0.777
0.750 0.830 0.405
0.250 0.170 0.595
0.507 0.626 0.196
0.007 0.374 0.804
0.493 0.374 0.804
0.993 0.626 0.196
0.581 0.360 0.311
0.081 0.640 0.689
0.419 0.640 0.689
0.919 0.360 0.311
0.750 0.849 0.913
0.250 0.151 0.087
```

As for the spin magnetization: 0.0 μB/f.u. The value obtained for the uncorrected formation energy is -0.776 eV per atom. For the total DFT energy (no corrections), the calculation gives -5.11 eV/atom.


No. 7
# Np2Ni4GeP3

A relaxed structure of Np2Ni4GeP3 (GGA-PBE, the Alexandria database).

POSCAR file:
```
Np2Ni4GeP3
1.0
3.996 0.000 0.000
0.000 3.996 0.000
0.000 0.000 9.232
Np Ni Ge P
2 4 1 3
direct
0.500 0.000 0.246
0.000 0.500 0.754
0.500 0.500 0.000
0.000 0.000 0.000
0.500 0.000 0.627
0.000 0.500 0.373
0.500 0.500 0.500
0.000 0.000 0.500
0.500 0.000 0.868
0.000 0.500 0.132
```

As for the spin magnetization: 7.1 μB/f.u. For the total DFT energy (no corrections), the calculation gives -7.62 eV/atom.


No. 8
# Sr2In3PbO8

A relaxed structure of Sr2In3PbO8 (GGA-PBE, the Alexandria database).

POSCAR file:
```
Sr2In3PbO8
1.0
-2.753 -6.085 -1.079
-1.756 -3.896 5.245
-6.797 -0.933 1.394
Sr In Pb O
2 3 1 8
direct
0.122 0.122 0.634
0.498 0.498 0.506
0.496 0.010 0.998
0.010 0.496 0.998
0.496 0.496 0.998
0.883 0.883 0.352
0.264 0.264 0.207
0.732 0.732 0.805
0.250 0.250 0.799
0.702 0.250 0.799
0.250 0.702 0.799
0.753 0.284 0.209
0.284 0.753 0.209
0.753 0.753 0.209
```

As for the spin magnetization: 0.0 μB/f.u. The value obtained for the uncorrected formation energy is -1.784 eV per atom. For the total DFT energy (no corrections), the calculation gives -5.71 eV/atom.


No. 9
# RbNb2Se2

A relaxed structure of RbNb2Se2 (GGA-PBE, the Alexandria database).

POSCAR file:
```
RbNb2Se2
1.0
-3.214 1.919 3.564
-3.510 -3.588 -1.233
-1.633 -3.569 4.197
Nb Se Rb
2 2 1
direct
0.369 0.369 0.262
0.631 0.631 0.738
0.750 0.250 0.500
0.250 0.750 0.500
0.000 0.000 0.000
```

As for the spin magnetization: 0.8 μB/f.u. The value obtained for the uncorrected formation energy is -0.274 eV per atom. For the total DFT energy (no corrections), the calculation gives -5.89 eV/atom. For the energy above the most stable polymorph in this dataset, the calculation gives 502 meV per atom.


Q: The lowest total DFT energy (no corrections) belongs to which entry?
A: Fe2MoRh2


Repeat the sixth record exactly.
# Ba2P7Br

A relaxed structure of Ba2P7Br (GGA-PBE, the Alexandria database).

POSCAR file:
```
Ba2P7Br
1.0
-1.420 -4.366 -5.234
6.218 -0.241 -1.485
2.564 -9.382 7.130
Ba P Br
4 14 2
direct
0.750 0.286 0.046
0.250 0.714 0.954
0.750 0.070 0.648
0.250 0.930 0.352
0.750 0.493 0.446
0.250 0.507 0.554
0.750 0.831 0.223
0.250 0.169 0.777
0.750 0.830 0.405
0.250 0.170 0.595
0.507 0.626 0.196
0.007 0.374 0.804
0.493 0.374 0.804
0.993 0.626 0.196
0.581 0.360 0.311
0.081 0.640 0.689
0.419 0.640 0.689
0.919 0.360 0.311
0.750 0.849 0.913
0.250 0.151 0.087
```

As for the spin magnetization: 0.0 μB/f.u. The value obtained for the uncorrected formation energy is -0.776 eV per atom. For the total DFT energy (no corrections), the calculation gives -5.11 eV/atom.


Q: Number 7 is which compound?
A: Np2Ni4GeP3